[1]
# GGA-PBE Er4Sc9Al11, optimized geometry
# - E_tot (eV per atom) = -5.22
# - energy of formation (eV/atom) = -0.366
# - spin magnetization (μB/cell) = 0.000
# - ρ (g cm⁻³) = 4.538
# - volume (Å³ per cell) = 1002.9
data_Er4Sc9Al11
_chemical_formula_sum 'Er8 Sc18 Al22'
_cell_length_a 14.654
_cell_length_b 21.773
_cell_length_c 3.143
_cell_angle_alpha 90.00
_cell_angle_beta 90.00
_cell_angle_gamma 90.00
_space_group_name_H-M_alt 'C m m m'
_space_group_IT_number 65
_space_group_name_Hall '-C 2 2'
loop_
_atom_site_label
_atom_site_type_symbol
_atom_site_fract_x
_atom_site_fract_y
_atom_site_fract_z
_atom_site_occupancy
Er1 Er 0.179 0.082 0.000 1
Sc1 Sc 0.000 0.000 0.000 1
Sc2 Sc 0.104 0.401 0.000 1
Sc3 Sc 0.110 0.221 0.000 1
Al1 Al 0.000 0.121 0.500 1
Al2 Al 0.000 0.309 0.500 1
Al3 Al 0.000 0.500 0.500 1
Al4 Al 0.189 0.500 0.500 1
Al5 Al 0.220 0.311 0.500 1


[2]
# GGA-PBE ErSc2Al2, optimized geometry
# - E_tot (eV per atom) = -5.13
# - energy of formation (eV/atom) = -0.191
# - spin magnetization (μB/cell) = 1.374
# - ρ (g cm⁻³) = 4.450
# - volume (Å³ per cell) = 232.2
data_ErSc2Al2
_chemical_formula_sum 'Er2 Sc4 Al4'
_cell_length_a 5.279
_cell_length_b 3.438
_cell_length_c 12.863
_cell_angle_alpha 90.00
_cell_angle_beta 95.80
_cell_angle_gamma 90.00
_space_group_name_H-M_alt 'P 1 21/m 1'
_space_group_IT_number 11
_space_group_name_Hall '-P 2yb'
loop_
_atom_site_label
_atom_site_type_symbol
_atom_site_fract_x
_atom_site_fract_y
_atom_site_fract_z
_atom_site_occupancy
Er1 Er 0.186 0.250 0.242 1
Sc1 Sc 0.242 0.750 0.467 1
Sc2 Sc 0.339 0.250 0.886 1
Al1 Al 0.163 0.750 0.044 1
Al2 Al 0.290 0.250 0.659 1


[3]
# GGA-PBE Er3Sc2Al3, optimized geometry
# - E_tot (eV per atom) = -5.02
# - energy of formation (eV/atom) = -0.325
# - spin magnetization (μB/cell) = 0.001
# - ρ (g cm⁻³) = 6.011
# - volume (Å³ per cell) = 371.6
data_Er3Sc2Al3
_chemical_formula_sum 'Er6 Sc4 Al6'
_cell_length_a 3.534
_cell_length_b 5.072
_cell_length_c 20.733
_cell_angle_alpha 90.00
_cell_angle_beta 90.00
_cell_angle_gamma 90.00
_space_group_name_H-M_alt 'I m m m'
_space_group_IT_number 71
_space_group_name_Hall '-I 2 2'
loop_
_atom_site_label
_atom_site_type_symbol
_atom_site_fract_x
_atom_site_fract_y
_atom_site_fract_z
_atom_site_occupancy
Er1 Er 0.000 0.000 0.000 1
Er2 Er 0.000 0.500 0.124 1
Sc1 Sc 0.000 0.000 0.235 1
Al1 Al 0.000 0.000 0.500 1
Al2 Al 0.000 0.500 0.376 1


> Which formula does entry 1 have?

Er4Sc9Al11


> Which value of E_tot does entry 1 give?

-5.22 eV per atom


> The highest ρ belongs to which entry?

Er3Sc2Al3